# CeSmErLu

CeSmErLu after structural relaxation (GGA-PBE, Alexandria).

Summary:
Crystal system = cubic
Total DFT energy (no corrections) = -4.79 eV per atom

abc: 5.6270 5.6270 5.6270
angles: 60.00 60.00 60.00
Positions (direct):
Sm: 0.2500 0.2500 0.2500
Er: 0.0000 0.0000 0.0000
Lu: 0.5000 0.5000 0.5000
Ce: 0.7500 0.7500 0.7500